# 1
The following is a DFT calculation (GGA-PBE) of crystalline MgMnTe2N at its relaxed geometry.

abc: 5.627 5.627 3.889
angles: 90.00 90.00 90.00
Positions (direct):
Mg 0.000 0.000 0.000
Mn 0.500 0.500 0.500
Te 0.000 0.500 0.000
Te 0.500 0.000 0.000
N 0.000 0.000 0.500

Calculated values
Relative energy among the computed polymorphs, kJ per mole of atoms: 74.6
SG: P4/mmm (123)

# 2
The following is a DFT calculation (GGA-PBE) of crystalline HoTmO4 at its relaxed geometry.

abc: 3.863 3.863 6.141
angles: 95.24 95.24 56.83
Positions (direct):
Ho 0.000 0.000 0.000
Tm 0.363 0.363 0.456
O 0.035 0.035 0.376
O 0.329 0.329 0.085
O 0.587 0.587 0.777
O 0.776 0.776 0.673

Calculated values
SG: Cm (8)

Total magnetic moment list, top to bottom, in μB per cell: 6.369, 0.000
Energy relative to the elements, uncorrected list, top to bottom, in meV/atom: 746, -3019
Final energy list, top to bottom, in eV per atom: -4.328, -7.832